Here is LiNp2O7 after structural relaxation from the Alexandria database. Energies are from PBE.

Output
* total DFT energy (no corrections): -85.8 eV/f.u.
* ρ: 6.84 g/cm3
* spin magnetization: 1.0 μB per cell

a = 6.161 Å, b = 6.161 Å, c = 4.123 Å
α = 90.00°, β = 90.00°, γ = 113.07°
Fractional coordinates of all 10 atoms:
Li (0.000, 0.000, 0.000)
Np (0.297, 0.703, 0.500)
Np (0.703, 0.297, 0.500)
O (0.049, 0.326, 0.500)
O (0.293, 0.707, 0.000)
O (0.326, 0.049, 0.500)
O (0.500, 0.500, 0.500)
O (0.674, 0.951, 0.500)
O (0.707, 0.293, 0.000)
O (0.951, 0.674, 0.500)


Here is Li6NpO8 after structural relaxation from the Alexandria database. Energies are from PBE.

Output
* total DFT energy (no corrections): -93.9 eV/f.u.
* ρ: 4.52 g/cm3
* spin magnetization: 0.9 μB per cell

a = 5.366 Å, b = 5.366 Å, c = 5.366 Å
α = 98.12°, β = 98.12°, γ = 98.12°
Fractional coordinates of all 15 atoms:
Li (0.087, 0.601, 0.813)
Li (0.187, 0.913, 0.399)
Li (0.399, 0.187, 0.913)
Li (0.601, 0.813, 0.087)
Li (0.813, 0.087, 0.601)
Li (0.913, 0.399, 0.187)
Np (0.500, 0.500, 0.500)
O (0.086, 0.086, 0.086)
O (0.193, 0.288, 0.596)
O (0.288, 0.596, 0.193)
O (0.404, 0.807, 0.712)
O (0.596, 0.193, 0.288)
O (0.712, 0.404, 0.807)
O (0.807, 0.712, 0.404)
O (0.914, 0.914, 0.914)


Here is Li3NpO3 after structural relaxation from the Alexandria database. Energies are from PBE.

Output
* total DFT energy (no corrections): -47.4 eV/f.u.
* ρ: 4.71 g/cm3
* spin magnetization: 15.1 μB per cell

a = 8.220 Å, b = 8.220 Å, c = 6.510 Å
α = 90.00°, β = 90.00°, γ = 78.63°
Fractional coordinates of all 28 atoms:
Li (0.012, 0.614, 0.110)
Li (0.114, 0.512, 0.610)
Li (0.222, 0.778, 0.838)
Li (0.278, 0.722, 0.338)
Li (0.386, 0.988, 0.110)
Li (0.488, 0.886, 0.610)
Li (0.512, 0.114, 0.390)
Li (0.614, 0.012, 0.890)
Li (0.722, 0.278, 0.662)
Li (0.778, 0.222, 0.162)
Li (0.886, 0.488, 0.390)
Li (0.988, 0.386, 0.890)
Np (0.130, 0.130, 0.500)
Np (0.370, 0.370, 0.000)
Np (0.630, 0.630, 0.000)
Np (0.870, 0.870, 0.500)
O (0.047, 0.659, 0.390)
O (0.057, 0.943, 0.692)
O (0.159, 0.547, 0.890)
O (0.341, 0.953, 0.390)
O (0.443, 0.557, 0.192)
O (0.453, 0.841, 0.890)
O (0.547, 0.159, 0.110)
O (0.557, 0.443, 0.808)
O (0.659, 0.047, 0.610)
O (0.841, 0.453, 0.110)
O (0.943, 0.057, 0.308)
O (0.953, 0.341, 0.610)


Here is LiNpOsO6 after structural relaxation from the Alexandria database. Energies are from PBE.

Output
* total DFT energy (no corrections): -72.8 eV/f.u.
* ρ: 7.54 g/cm3
* spin magnetization: 8.1 μB per cell

a = 5.362 Å, b = 5.362 Å, c = 9.377 Å
α = 90.00°, β = 90.00°, γ = 120.00°
Fractional coordinates of all 18 atoms:
Li (0.000, 0.000, 0.000)
Li (0.000, 0.000, 0.500)
Np (0.333, 0.667, 0.250)
Np (0.667, 0.333, 0.750)
Os (0.333, 0.667, 0.750)
Os (0.667, 0.333, 0.250)
O (0.018, 0.363, 0.637)
O (0.018, 0.655, 0.863)
O (0.345, 0.363, 0.863)
O (0.345, 0.982, 0.637)
O (0.363, 0.018, 0.137)
O (0.363, 0.345, 0.363)
O (0.637, 0.655, 0.637)
O (0.637, 0.982, 0.863)
O (0.655, 0.018, 0.363)
O (0.655, 0.637, 0.137)
O (0.982, 0.345, 0.137)
O (0.982, 0.637, 0.363)